Entry 1:
YHo8Er2: relaxed, PBE-GGA.

Properties
- M_tot (μB per atom) = 0.00
- energy of formation (eV/atom) = 0.12
- relative energy among the computed polymorphs (meV per atom) = 0

abc: 5.462 8.130 15.675
angles: 90.00 90.00 90.00
Space group Immm (No. 71)
One atom of each set of equivalent atoms:
Y 0.000 0.000 0.000 (multiplicity 2)
Ho 0.000 0.204 0.500 (multiplicity 4)
Ho 0.000 0.294 0.139 (multiplicity 8)
Ho 0.000 0.500 0.339 (multiplicity 4)
Er 0.000 0.000 0.298 (multiplicity 4)



Entry 2:
Y3Ho3Er4: relaxed, PBE-GGA.

Properties
- M_tot (μB per atom) = 0.00
- energy of formation (eV/atom) = 0.09

abc: 3.692 13.101 13.095
angles: 90.00 90.00 90.00
Space group Amm2 (No. 38)
One atom of each set of equivalent atoms:
Y 0.000 0.000 0.000 (multiplicity 2)
Y 0.000 0.172 0.328 (multiplicity 4)
Ho 0.000 0.000 0.656 (multiplicity 2)
Ho 0.500 0.250 0.078 (multiplicity 4)
Er 0.500 0.000 0.202 (multiplicity 2)
Er 0.500 0.000 0.455 (multiplicity 2)
Er 0.500 0.126 0.827 (multiplicity 4)



Entry 3:
YHo6Er12: relaxed, PBE-GGA.

Properties
- M_tot (μB per atom) = 0.00
- energy of formation (eV/atom) = 0.16
- relative energy among the computed polymorphs (meV per atom) = 0

abc: 11.7614 11.7614 15.0973
angles: 90.00 90.00 120.00
Space group R-3 (No. 148, hexagonal axes)
One atom of each set of equivalent atoms:
Y 0.0000 0.0000 0.0000 (multiplicity 3)
Ho 0.0093 0.4222 0.6780 (multiplicity 18)
Er 0.0191 0.8364 0.1916 (multiplicity 18)
Er 0.0400 0.8516 0.4156 (multiplicity 18)



Entry 4:
Y12HoEr7: relaxed, PBE-GGA.

Properties
- M_tot (μB per atom) = 0.00
- energy of formation (eV/atom) = 0.29
- relative energy among the computed polymorphs (meV per atom) = 0

abc: 12.7985 12.7985 13.6196
angles: 90.00 90.00 120.00
Space group R-3 (No. 148, hexagonal axes)
One atom of each set of equivalent atoms:
Y 0.0025 0.5648 0.2485 (multiplicity 18)
Y 0.0683 0.1999 0.8489 (multiplicity 18)
Ho 0.0000 0.0000 0.5000 (multiplicity 3)
Er 0.0000 0.0000 0.0000 (multiplicity 3)
Er 0.0688 0.8696 0.3467 (multiplicity 18)



Entry 5:
Y4Ho10Er: relaxed, PBE-GGA.

Properties
- M_tot (μB per atom) = 0.00
- energy of formation (eV/atom) = 0.75

abc: 12.123 12.123 7.666
angles: 90.00 90.00 90.00
Space group I4/m (No. 87)
One atom of each set of equivalent atoms:
Y 0.101 0.299 0.000 (multiplicity 8)
Ho 0.000 0.500 0.250 (multiplicity 4)
Ho 0.099 0.801 0.252 (multiplicity 16)
Er 0.000 0.000 0.500 (multiplicity 2)



Entry 6:
Y4HoEr6: relaxed, PBE-GGA.

Properties
- M_tot (μB per atom) = 0.00
- energy of formation (eV/atom) = 0.30

abc: 6.521 6.521 16.970
angles: 90.00 90.00 90.00
Space group I-42m (No. 121)
One atom of each set of equivalent atoms:
Y 0.187 0.187 0.174 (multiplicity 8)
Ho 0.000 0.000 0.000 (multiplicity 2)
Er 0.000 0.500 0.000 (multiplicity 4)
Er 0.179 0.179 0.371 (multiplicity 8)



Entry 7:
Y5Ho2Er3: relaxed, PBE-GGA.

Properties
- M_tot (μB per atom) = 0.00
- energy of formation (eV/atom) = 0.27
- relative energy among the computed polymorphs (meV per atom) = 81

abc: 10.802 17.749 6.795
angles: 90.00 90.00 90.00
Space group Ibam (No. 72)
One atom of each set of equivalent atoms:
Y 0.000 0.000 0.250 (multiplicity 4)
Y 0.000 0.317 0.250 (multiplicity 8)
Y 0.116 0.171 0.000 (multiplicity 8)
Ho 0.235 0.477 0.500 (multiplicity 8)
Er 0.000 0.500 0.250 (multiplicity 4)
Er 0.204 0.166 0.500 (multiplicity 8)



Entry 8:
YHo12Er3: relaxed, PBE-GGA.

Properties
- M_tot (μB per atom) = 0.00
- energy of formation (eV/atom) = 0.02

abc: 4.986 4.986 19.926
angles: 90.00 90.00 90.00
Space group P4/mmm (No. 123)
One atom of each set of equivalent atoms:
Y 0.000 0.000 0.000 (multiplicity 1)
Ho 0.000 0.500 0.126 (multiplicity 4)
Ho 0.000 0.500 0.375 (multiplicity 4)
Ho 0.500 0.500 0.000 (multiplicity 1)
Ho 0.500 0.500 0.251 (multiplicity 2)
Ho 0.500 0.500 0.500 (multiplicity 1)
Er 0.000 0.000 0.251 (multiplicity 2)
Er 0.000 0.000 0.500 (multiplicity 1)



Entry 9:
Y4Ho2Er5: relaxed, PBE-GGA.

Properties
- M_tot (μB per atom) = 0.00
- energy of formation (eV/atom) = 0.10
- relative energy among the computed polymorphs (meV per atom) = 75

abc: 16.270 5.628 9.191
angles: 90.00 123.90 90.00
Space group C2/m (No. 12)
One atom of each set of equivalent atoms:
Y 0.048 0.000 0.305 (multiplicity 4)
Y 0.184 0.500 0.487 (multiplicity 4)
Ho 0.094 0.500 0.759 (multiplicity 4)
Er 0.000 0.500 0.000 (multiplicity 2)
Er 0.157 0.000 0.064 (multiplicity 4)
Er 0.215 0.000 0.758 (multiplicity 4)



Entry 10:
YHo6Er12: relaxed, PBE-GGA.

Properties
- M_tot (μB per atom) = 0.00
- energy of formation (eV/atom) = 0.45
- relative energy among the computed polymorphs (meV per atom) = 288

abc: 14.9500 14.9500 9.9286
angles: 90.00 90.00 120.00
Space group R-3m (No. 166, hexagonal axes)
One atom of each set of equivalent atoms:
Y 0.0000 0.0000 0.0000 (multiplicity 3)
Ho 0.0545 0.5272 0.2111 (multiplicity 18)
Er 0.0000 0.3893 0.5000 (multiplicity 18)
Er 0.0727 0.1455 0.2862 (multiplicity 18)



Entry 11:
Y5Ho5Er: relaxed, PBE-GGA.

Properties
- M_tot (μB per atom) = 0.11
- energy of formation (eV/atom) = 0.29
- relative energy among the computed polymorphs (meV per atom) = 134

abc: 18.804 5.913 6.923
angles: 90.00 111.38 90.00
Space group C2/m (No. 12)
One atom of each set of equivalent atoms:
Y 0.000 0.000 0.000 (multiplicity 2)
Y 0.178 0.500 0.424 (multiplicity 4)
Y 0.178 0.500 0.932 (multiplicity 4)
Ho 0.000 0.500 0.500 (multiplicity 2)
Ho 0.123 0.000 0.624 (multiplicity 4)
Ho 0.169 0.000 0.170 (multiplicity 4)
Er 0.000 0.500 0.000 (multiplicity 2)



Entry 12:
Y3Ho6Er: relaxed, PBE-GGA.

Properties
- M_tot (μB per atom) = 0.00
- energy of formation (eV/atom) = 0.13
- relative energy among the computed polymorphs (meV per atom) = 0

abc: 9.334 15.394 8.862
angles: 90.00 90.00 90.00
Space group Cmc2_1 (No. 36)
One atom of each set of equivalent atoms:
Y 0.000 0.050 0.000 (multiplicity 4)
Y 0.176 0.351 0.488 (multiplicity 8)
Ho 0.000 0.218 0.245 (multiplicity 4)
Ho 0.000 0.447 0.126 (multiplicity 4)
Ho 0.176 0.147 0.639 (multiplicity 8)
Ho 0.246 0.442 0.814 (multiplicity 8)
Er 0.000 0.280 0.878 (multiplicity 4)